La2PdCl | PBE | relaxed

Results
For the uncorrected formation energy, the calculation gives -1.1468 eV per atom. The energy above the most stable polymorph in this dataset is 0.0227 eV per atom. The calculation puts the total energy at -0.3947 Ry per atom. The total magnetization comes out at 0.00 Bohr magnetons per cell. The symmetry is R3m.

Cell: 4.1880 4.1880 8.1120 Å, 75.04 75.04 60.00°
Closest atoms and distances in Å follow each position.
Atoms (fractional coordinates):
Cl 0.4986 0.4986 0.5041  6 La 3.25-3.30
Pd 0.6675 0.6675 0.9974  6 La 2.93-2.94
La 0.2620 0.2620 0.2141  3 Pd 2.94
La 0.0719 0.0719 0.7844  3 Pd 2.93, 3 Cl 3.25